A geometry-optimized Mn2TlOs structure, computed with GGA-PBE.

Structure (CIF):
```
data_Mn2TlOs
_chemical_formula_sum 'Mn8 Tl4 Os4'
_cell_length_a 6.368
_cell_length_b 6.368
_cell_length_c 6.368
_cell_angle_alpha 90.00
_cell_angle_beta 90.00
_cell_angle_gamma 90.00
_symmetry_space_group_name_H-M 'F -4 3 m'
_symmetry_Int_Tables_number 216
_symmetry_space_group_name_Hall 'F -4 2 3'
loop_
_atom_site_label
_atom_site_fract_x
_atom_site_fract_y
_atom_site_fract_z
Mn1 0.000 0.000 0.000
Mn2 0.250 0.250 0.250
Tl1 0.000 0.000 0.500
Os1 0.250 0.250 0.750
```

- offset from the most stable computed form (meV/atom) = 234
- calculated volume (Å³ per atom) = 16.1
- ΔE_f (kJ/mol of atoms) = 62.27

=====

A geometry-optimized LiTl2Pt structure, computed with GGA-PBE.

Structure (CIF):
```
data_LiTl2Pt
_chemical_formula_sum 'Li2 Tl4 Pt2'
_cell_length_a 4.286
_cell_length_b 4.286
_cell_length_c 8.887
_cell_angle_alpha 90.00
_cell_angle_beta 90.00
_cell_angle_gamma 90.00
_symmetry_space_group_name_H-M 'I -4 m 2'
_symmetry_Int_Tables_number 119
_symmetry_space_group_name_Hall 'I -4 -2'
loop_
_atom_site_label
_atom_site_fract_x
_atom_site_fract_y
_atom_site_fract_z
Li1 0.000 0.000 0.000
Tl1 0.000 0.000 0.500
Tl2 0.000 0.500 0.250
Pt1 0.000 0.500 0.750
```

- calculated volume (Å³ per atom) = 20.4
- ΔE_f (kJ/mol of atoms) = -11.75

=====

A geometry-optimized Cs3CrSe4 structure, computed with GGA-PBE.

Structure (CIF):
```
data_Cs3CrSe4
_chemical_formula_sum 'Cs12 Cr4 Se16'
_cell_length_a 10.216
_cell_length_b 12.055
_cell_length_c 10.230
_cell_angle_alpha 90.00
_cell_angle_beta 90.00
_cell_angle_gamma 90.00
_symmetry_space_group_name_H-M 'P n m a'
_symmetry_Int_Tables_number 62
loop_
_symmetry_equiv_pos_as_xyz
'x,y,z'
'-x,-y,-z'
'-x+1/2,-y,z+1/2'
'x+1/2,y,-z+1/2'
'x+1/2,-y+1/2,-z+1/2'
'-x+1/2,y+1/2,z+1/2'
'-x,y+1/2,-z'
'x,-y+1/2,z'
loop_
_atom_site_label
_atom_site_fract_x
_atom_site_fract_y
_atom_site_fract_z
Cs1 0.045 0.042 0.206
Cs2 0.148 0.750 0.412
Cr1 0.223 0.750 0.983
Se1 0.017 0.750 0.068
Se2 0.170 0.094 0.547
Se3 0.209 0.750 0.761
```

- calculated volume (Å³ per atom) = 39.4
- energy relative to the elements, uncorrected (meV per atom) = -942

=====

A geometry-optimized HfNi2Mo structure, computed with GGA-PBE.

Structure (CIF):
```
data_HfNi2Mo
_chemical_formula_sum 'Hf4 Ni8 Mo4'
_cell_length_a 3.856
_cell_length_b 3.856
_cell_length_c 17.311
_cell_angle_alpha 90.00
_cell_angle_beta 90.00
_cell_angle_gamma 90.00
_symmetry_space_group_name_H-M 'I -4 2 d'
_symmetry_Int_Tables_number 122
_symmetry_space_group_name_Hall 'I -4 2bw'
loop_
_atom_site_label
_atom_site_fract_x
_atom_site_fract_y
_atom_site_fract_z
Hf1 0.000 0.000 0.000
Ni1 0.232 0.250 0.625
Mo1 0.000 0.000 0.500
```

- offset from the most stable computed form (meV/atom) = 492
- calculated volume (Å³ per atom) = 16.1
- ΔE_f (kJ/mol of atoms) = 42.20

=====

- Which value of calculated volume does entry 4 give?
  16.1 Å³ per atom

=====

- calculated volume of number 3 (Cs3CrSe4)?
  39.4 Å³ per atom